w:
Ce3AlTc2: optimized geometry, PBE-GGA.

Cell: 4.583 4.525 7.154 Å, 108.43 108.68 90.00°
Fractional coordinates of all 6 atoms:
1 Tc 0.372 0.872 0.745
2 Tc 0.628 0.128 0.255
3 Ce 0.809 0.309 0.619
4 Ce 0.191 0.691 0.381
5 Ce 0.500 0.500 0.000
6 Al 0.000 0.000 0.000

Space-group type: Immm, No. 71
Total magnetic moment in μB per cell: 0.0

***

x:
Ce3AlTc2: optimized geometry, PBE-GGA.

Cell: 3.172 8.503 12.181 Å, 126.82 90.00 90.00°
Last column: magnetic moment on the atom in μB.
Fractional coordinates of all 12 atoms:
1 Al 0.250 0.721 0.316  0.00
2 Al 0.750 0.279 0.684  0.00
3 Ce 0.250 0.330 0.481  0.01
4 Ce 0.750 0.845 0.132  0.03
5 Ce 0.250 0.155 0.868  0.03
6 Ce 0.750 0.752 0.862  0.23
7 Ce 0.750 0.670 0.519  0.01
8 Ce 0.250 0.248 0.138  0.23
9 Tc 0.750 0.021 0.416  0.00
10 Tc 0.750 0.525 0.105  -0.01
11 Tc 0.250 0.979 0.584  0.00
12 Tc 0.250 0.475 0.895  -0.01

Space-group type: P2_1/m, No. 11
Total magnetic moment in μB per cell: 0.6

***

In order of decreasing stability: w, x.

***

w:
CeThAl: optimized geometry, PBE-GGA.

Cell: 4.001 4.001 5.728 Å, 110.44 110.44 90.00°
Fractional coordinates of all 3 atoms:
1 Ce 0.966 0.966 0.932
2 Th 0.268 0.268 0.536
3 Al 0.616 0.616 0.232

Space-group type: I4mm, No. 107
Total magnetic moment in μB per cell: 0.0

***

x:
CeThAl: optimized geometry, PBE-GGA.

Cell: 4.932 6.557 9.891 Å, 90.00 90.00 90.00°
Last column: magnetic moment on the atom in μB.
Fractional coordinates of all 12 atoms:
1 Th 0.250 0.330 0.068  0.02
2 Th 0.750 0.670 0.932  0.02
3 Th 0.250 0.830 0.432  0.02
4 Th 0.750 0.170 0.568  0.02
5 Al 0.250 0.818 0.113  0.00
6 Al 0.250 0.318 0.387  0.00
7 Al 0.750 0.682 0.613  0.00
8 Al 0.750 0.182 0.887  0.00
9 Ce 0.750 0.087 0.213  0.29
10 Ce 0.250 0.413 0.713  0.29
11 Ce 0.750 0.587 0.287  0.29
12 Ce 0.250 0.913 0.787  0.29

Space-group type: Pnma, No. 62
Total magnetic moment in μB per cell: 1.5

***

y:
CeThAl: optimized geometry, PBE-GGA.

Cell: 4.960 6.898 6.653 Å, 128.14 90.00 111.07°
Last column: magnetic moment on the atom in μB.
Fractional coordinates of all 6 atoms:
1 Al 0.140 0.280 0.168  0.00
2 Al 0.860 0.720 0.832  0.00
3 Ce 0.478 0.956 0.745  0.14
4 Ce 0.522 0.044 0.255  0.14
5 Th 0.814 0.629 0.259  0.01
6 Th 0.186 0.371 0.741  0.01

Space-group type: C2/m, No. 12
Total magnetic moment in μB per cell: 0.3

***

z:
CeThAl: optimized geometry, PBE-GGA.

Cell: 5.041 5.041 7.006 Å, 90.00 90.00 120.00°
Last column: magnetic moment on the atom in μB.
Fractional coordinates of all 6 atoms:
1 Th 0.000 0.000 0.226  0.02
2 Th 0.000 0.000 0.774  0.02
3 Ce 0.333 0.667 0.500  0.40
4 Ce 0.667 0.333 0.500  0.40
5 Al 0.333 0.667 0.000  0.00
6 Al 0.667 0.333 0.000  0.00

Space-group type: P6/mmm, No. 191
Total magnetic moment in μB per cell: 1.0

***

In order of decreasing stability: x, y, w, z.

***

w:
Ce2ThAl: optimized geometry, PBE-GGA.

Cell: 5.338 5.338 5.338 Å, 60.00 60.00 60.00°
Last column: magnetic moment on the atom in μB.
Fractional coordinates of all 4 atoms:
1 Ce 0.750 0.750 0.750  0.35
2 Ce 0.250 0.250 0.250  0.35
3 Th 0.000 0.000 0.000  0.16
4 Al 0.500 0.500 0.500  0.00

Space-group type: Fm-3m, No. 225
Total magnetic moment in μB per cell: 1.1

***

x:
Ce2ThAl: optimized geometry, PBE-GGA.

Cell: 4.632 4.638 5.911 Å, 113.09 113.07 90.00°
Last column: magnetic moment on the atom in μB.
Fractional coordinates of all 4 atoms:
1 Al 0.000 0.500 0.000  0.00
2 Th 0.500 0.000 0.000  0.06
3 Ce 0.750 0.749 0.499  0.39
4 Ce 0.250 0.251 0.501  0.39

Space-group type: C2/m, No. 12
Total magnetic moment in μB per cell: 1.0

***

y:
Ce2ThAl: optimized geometry, PBE-GGA.

Cell: 4.891 4.667 4.667 Å, 90.00 90.00 90.00°
Last column: magnetic moment on the atom in μB.
Fractional coordinates of all 4 atoms:
1 Al 0.500 0.000 0.000  0.00
2 Ce 0.000 0.000 0.500  0.53
3 Ce 0.000 0.500 0.000  0.53
4 Th 0.500 0.500 0.500  0.10

Space-group type: P4/mmm, No. 123
Total magnetic moment in μB per cell: 1.4

***

In order of decreasing stability: y, x, w.

***

w:
CeTh2Al: optimized geometry, PBE-GGA.

Cell: 4.665 4.874 4.874 Å, 90.00 90.00 90.00°
Fractional coordinates of all 4 atoms:
1 Ce 0.500 0.000 0.000
2 Al 0.500 0.500 0.500
3 Th 0.000 0.000 0.500
4 Th 0.000 0.500 0.000

Space-group type: P4/mmm, No. 123
Total magnetic moment in μB per cell: 0.0

***

x:
CeTh2Al: optimized geometry, PBE-GGA.

Cell: 4.503 4.855 10.132 Å, 90.00 90.00 90.00°
Fractional coordinates of all 8 atoms:
1 Al 0.500 0.750 0.630
2 Al 0.500 0.250 0.370
3 Th 0.000 0.750 0.863
4 Th 0.000 0.750 0.387
5 Th 0.000 0.250 0.613
6 Th 0.000 0.250 0.137
7 Ce 0.500 0.750 0.124
8 Ce 0.500 0.250 0.876

Space-group type: Pmma, No. 51
Total magnetic moment in μB per cell: 0.0

***

y:
CeTh2Al: optimized geometry, PBE-GGA.

Cell: 5.361 5.361 5.361 Å, 60.00 60.00 60.00°
Fractional coordinates of all 4 atoms:
1 Ce 0.000 0.000 0.000
2 Th 0.250 0.250 0.250
3 Th 0.750 0.750 0.750
4 Al 0.500 0.500 0.500

Space-group type: Fm-3m, No. 225
Total magnetic moment in μB per cell: 0.0

***

In order of decreasing stability: w, x, y.